The following is a GGA-PBE calculation of an optimized crystal structure of La2PrNd2Y, from Alexandria via LeMat-Bulk.

```
La2PrNd2Y
1.0
5.8360 0.0000 0.0000
0.0000 7.2049 0.0000
0.0000 0.0000 10.0794
Pr Nd La Y
2 4 4 2
direct
0.5000 0.7576 0.3390 Pr
0.5000 0.2576 0.6610 Pr
0.0000 0.7576 0.1650 Nd
0.5000 0.2576 0.3327 Nd
0.0000 0.2576 0.8350 Nd
0.5000 0.7576 0.6673 Nd
0.5000 0.5076 0.0001 La
0.0000 0.2576 0.1731 La
0.5000 0.0076 0.9999 La
0.0000 0.7576 0.8269 La
0.0000 0.0076 0.5000 Y
0.0000 0.5076 0.5000 Y
```

Calculated values
Total magnetic moment (μB per formula unit): 0.000
Calculated volume (Å³ per atom): 35.3
Formation enthalpy at 0 K (eV per atom): 0.04
VASP energy (eV/atom): -5.0626

The following is a GGA-PBE calculation of an optimized crystal structure of La2PrNd6Y, from Alexandria via LeMat-Bulk.

```
La2PrNd6Y
1.0
9.6101 -2.2387 -2.3233
0.7099 8.7257 -2.0652
0.7099 -2.3872 8.6432
La Nd Pr Y
4 12 2 2
direct
0.9593 0.7084 0.8057 La
0.5407 0.1943 0.2916 La
0.0407 0.2916 0.1943 La
0.4593 0.8057 0.7084 La
0.8797 0.2979 0.5051 Nd
0.0544 0.1190 0.7399 Nd
0.4456 0.2601 0.8810 Nd
0.5544 0.7399 0.1190 Nd
0.1872 0.5761 0.0185 Nd
0.8128 0.4239 0.9815 Nd
0.6203 0.4949 0.7021 Nd
0.6872 0.0185 0.5761 Nd
0.9456 0.8810 0.2601 Nd
0.3797 0.5051 0.2979 Nd
0.1203 0.7021 0.4949 Nd
0.3128 0.9815 0.4239 Nd
0.2500 0.9868 0.0132 Pr
0.7500 0.0132 0.9868 Pr
0.2500 0.4055 0.5945 Y
0.7500 0.5945 0.4055 Y
```

Calculated values
Total magnetic moment (μB per formula unit): 0.000
Calculated volume (Å³ per atom): 35.6
Formation enthalpy at 0 K (eV per atom): 0.10
VASP energy (eV/atom): -4.8661

The following is a GGA-PBE calculation of an optimized crystal structure of LaPr2NdY, from Alexandria via LeMat-Bulk.

```
LaPr2NdY
1.0
-4.0420 0.0213 5.3428
-3.8713 -6.9993 -2.9008
4.4020 -3.2227 3.3431
Y La Pr Nd
2 2 4 2
direct
0.8354 0.5000 0.2500 Y
0.1646 0.5000 0.7500 Y
0.0000 0.0000 0.5000 La
0.0000 0.0000 0.0000 La
0.6898 0.3103 0.7237 Pr
0.6898 0.6897 0.7763 Pr
0.3102 0.6897 0.2763 Pr
0.3102 0.3103 0.2237 Pr
0.5684 0.0000 0.2500 Nd
0.4316 0.0000 0.7500 Nd
```

Calculated values
Total magnetic moment (μB per formula unit): 0.000
Calculated volume (Å³ per atom): 36.4
Formation enthalpy at 0 K (eV per atom): 0.24
VASP energy (eV/atom): -4.8998

The following is a GGA-PBE calculation of an optimized crystal structure of La4Pr2Nd2Y, from Alexandria via LeMat-Bulk.

```
La4Pr2Nd2Y
1.0
5.2528 0.0000 0.0000
-2.6264 7.8673 0.0109
0.0000 -2.6526 7.8209
La Pr Nd Y
4 2 2 1
direct
0.2224 0.4448 0.3320 La
0.7776 0.5552 0.6680 La
0.4449 0.8897 0.6678 La
0.5551 0.1103 0.3322 La
0.1118 0.2236 0.6691 Pr
0.8882 0.7764 0.3309 Pr
0.6663 0.3325 0.0005 Nd
0.3337 0.6675 0.9995 Nd
0.0000 0.0000 0.0000 Y
```

Calculated values
Total magnetic moment (μB per formula unit): 0.000
Calculated volume (Å³ per atom): 35.9
Formation enthalpy at 0 K (eV per atom): 0.01
VASP energy (eV/atom): -5.0150

The following is a GGA-PBE calculation of an optimized crystal structure of LaPr2NdY2, from Alexandria via LeMat-Bulk.

```
LaPr2NdY2
1.0
-1.2310 -0.2406 3.2113
-6.2353 -0.4554 -2.4243
1.6368 -18.4096 -0.7516
La Y Pr Nd
2 4 4 2
direct
0.5000 0.5000 0.5000 La
0.0000 0.0000 0.0000 La
0.0000 0.7154 0.8520 Y
0.5000 0.2154 0.6480 Y
0.5000 0.7846 0.3520 Y
0.0000 0.2846 0.1480 Y
0.0000 0.7817 0.1867 Pr
0.5000 0.7183 0.6867 Pr
0.5000 0.2817 0.3133 Pr
0.0000 0.2183 0.8133 Pr
0.0000 0.0000 0.5000 Nd
0.5000 0.5000 0.0000 Nd
```

Calculated values
Total magnetic moment (μB per formula unit): 0.002
Calculated volume (Å³ per atom): 35.6
Formation enthalpy at 0 K (eV per atom): 0.26
VASP energy (eV/atom): -5.1066

The following is a GGA-PBE calculation of an optimized crystal structure of La3PrNdY, from Alexandria via LeMat-Bulk.

```
La3PrNdY
1.0
-4.6000 -2.5035 -0.4884
3.8651 -7.2244 0.6271
-3.4597 4.5031 9.5028
Y Pr Nd La
2 2 2 6
direct
0.7500 0.3747 0.8757 Y
0.2500 0.6253 0.1243 Y
0.7500 0.8765 0.7085 Pr
0.2500 0.1235 0.2915 Pr
0.2500 0.1258 0.6249 Nd
0.7500 0.8742 0.3751 Nd
0.2500 0.1256 0.9576 La
0.7500 0.3771 0.2071 La
0.7500 0.3736 0.5414 La
0.2500 0.6229 0.7929 La
0.7500 0.8744 0.0424 La
0.2500 0.6264 0.4586 La
```

Calculated values
Total magnetic moment (μB per formula unit): 0.000
Calculated volume (Å³ per atom): 35.8
Formation enthalpy at 0 K (eV per atom): 0.02
VASP energy (eV/atom): -5.1130

The following is a GGA-PBE calculation of an optimized crystal structure of La2Pr2NdY6, from Alexandria via LeMat-Bulk.

```
La2Pr2NdY6
1.0
-5.6598 -6.0654 -0.5006
6.7366 2.5257 4.1607
-6.6944 8.2682 2.5645
La Pr Y Nd
2 2 6 1
direct
0.3360 0.6640 0.5000 La
0.6640 0.3360 0.5000 La
0.8239 0.1761 0.0000 Pr
0.1761 0.8239 0.0000 Pr
0.2355 0.2355 0.2356 Y
0.0932 0.4205 0.7568 Y
0.7645 0.7645 0.7644 Y
0.9068 0.5795 0.2432 Y
0.4205 0.0932 0.7568 Y
0.5795 0.9068 0.2432 Y
0.0000 0.0000 0.5000 Nd
```

Calculated values
Total magnetic moment (μB per formula unit): 0.000
Calculated volume (Å³ per atom): 35.9
Formation enthalpy at 0 K (eV per atom): 0.18
VASP energy (eV/atom): -5.5439

The following is a GGA-PBE calculation of an optimized crystal structure of LaPr2Nd3Y6, from Alexandria via LeMat-Bulk.

```
LaPr2Nd3Y6
1.0
6.3217 -0.0006 0.0088
-3.1598 5.4753 0.0088
-1.0670 -1.8474 11.7310
Nd Y Pr La
3 6 2 1
direct
0.1669 0.8331 0.5000 Nd
0.5000 0.5000 0.5000 Nd
0.8331 0.1669 0.5000 Nd
0.9161 0.5822 0.7487 Y
0.4178 0.0839 0.2513 Y
0.5822 0.9161 0.7487 Y
0.7500 0.7500 0.2514 Y
0.2500 0.2500 0.7486 Y
0.0839 0.4178 0.2513 Y
0.3334 0.6666 0.0000 Pr
0.6666 0.3334 0.0000 Pr
0.0000 0.0000 0.0000 La
```

Calculated values
Total magnetic moment (μB per formula unit): 0.000
Calculated volume (Å³ per atom): 33.9
Formation enthalpy at 0 K (eV per atom): 0.01
VASP energy (eV/atom): -5.6237

The following is a GGA-PBE calculation of an optimized crystal structure of LaPr6NdY2, from Alexandria via LeMat-Bulk.

```
LaPr6NdY2
1.0
9.3540 -2.0355 -2.1124
0.8728 8.8065 -1.9641
0.8728 -2.2891 8.7277
Pr Nd Y La
12 2 4 2
direct
0.4405 0.2394 0.8949 Pr
0.5595 0.7606 0.1051 Pr
0.8825 0.2968 0.5194 Pr
0.1175 0.7032 0.4806 Pr
0.0595 0.1051 0.7606 Pr
0.8188 0.4381 0.9866 Pr
0.3188 0.9866 0.4381 Pr
0.1812 0.5619 0.0134 Pr
0.6175 0.4806 0.7032 Pr
0.9405 0.8949 0.2394 Pr
0.6812 0.0134 0.5619 Pr
0.3825 0.5194 0.2968 Pr
0.2500 0.9626 0.0374 Nd
0.7500 0.0374 0.9626 Nd
0.5517 0.1978 0.2909 Y
0.0517 0.2909 0.1978 Y
0.4483 0.8022 0.7091 Y
0.9483 0.7091 0.8022 Y
0.2500 0.4057 0.5943 La
0.7500 0.5943 0.4057 La
```

Calculated values
Total magnetic moment (μB per formula unit): 0.000
Calculated volume (Å³ per atom): 35.8
Formation enthalpy at 0 K (eV per atom): 0.11
VASP energy (eV/atom): -5.0215

The following is a GGA-PBE calculation of an optimized crystal structure of La3Pr2NdY6, from Alexandria via LeMat-Bulk.

```
La3Pr2NdY6
1.0
6.3415 -0.0011 0.0045
-3.1701 5.4922 0.0045
-1.0645 -1.8431 11.7447
Pr Y La Nd
2 6 3 1
direct
0.6666 0.3334 0.0000 Pr
0.3334 0.6666 0.0000 Pr
0.9174 0.5842 0.7515 Y
0.5842 0.9174 0.7515 Y
0.4158 0.0826 0.2485 Y
0.0826 0.4158 0.2485 Y
0.2505 0.2505 0.7514 Y
0.7495 0.7495 0.2486 Y
0.1668 0.8332 0.5000 La
0.5000 0.5000 0.5000 La
0.8332 0.1668 0.5000 La
0.0000 0.0000 0.0000 Nd
```

Calculated values
Total magnetic moment (μB per formula unit): 0.000
Calculated volume (Å³ per atom): 34.1
Formation enthalpy at 0 K (eV per atom): 0.01
VASP energy (eV/atom): -5.6510

The following is a GGA-PBE calculation of an optimized crystal structure of La2Pr2NdY, from Alexandria via LeMat-Bulk.

```
La2Pr2NdY
1.0
-5.5696 -0.2309 -1.7561
-2.1299 -0.7183 6.8498
-0.6815 10.0403 0.8410
Pr Nd La Y
4 2 4 2
direct
0.0000 0.7575 0.1651 Pr
0.5000 0.2577 0.3324 Pr
0.5000 0.7577 0.6676 Pr
0.0000 0.2575 0.8349 Pr
0.5000 0.2578 0.6602 Nd
0.5000 0.7578 0.3398 Nd
0.0000 0.7573 0.8271 La
0.0000 0.2573 0.1729 La
0.5000 0.0075 0.9998 La
0.5000 0.5075 0.0002 La
0.0000 0.5078 0.4999 Y
0.0000 0.0078 0.5001 Y
```

Calculated values
Total magnetic moment (μB per formula unit): 0.000
Calculated volume (Å³ per atom): 35.5
Formation enthalpy at 0 K (eV per atom): 0.04
VASP energy (eV/atom): -5.0658

The following is a GGA-PBE calculation of an optimized crystal structure of La2PrNd2Y2, from Alexandria via LeMat-Bulk.

```
La2PrNd2Y2
1.0
-4.4565 2.3767 1.2484
-0.2323 -6.3457 0.4110
2.8878 1.4426 7.5621
Pr Y Nd La
1 2 2 2
direct
0.0000 0.0000 0.0000 Pr
0.2846 0.5692 0.8604 Y
0.7154 0.4308 0.1396 Y
0.4287 0.8574 0.2831 Nd
0.5713 0.1426 0.7169 Nd
0.8570 0.7140 0.5713 La
0.1430 0.2860 0.4287 La
```

Calculated values
Total magnetic moment (μB per formula unit): 0.000
Calculated volume (Å³ per atom): 35.1
Formation enthalpy at 0 K (eV per atom): 0.02
VASP energy (eV/atom): -5.2803

Please write out number 5 again, unchanged.
The following is a GGA-PBE calculation of an optimized crystal structure of LaPr2NdY2, from Alexandria via LeMat-Bulk.

```
LaPr2NdY2
1.0
-1.2310 -0.2406 3.2113
-6.2353 -0.4554 -2.4243
1.6368 -18.4096 -0.7516
La Y Pr Nd
2 4 4 2
direct
0.5000 0.5000 0.5000 La
0.0000 0.0000 0.0000 La
0.0000 0.7154 0.8520 Y
0.5000 0.2154 0.6480 Y
0.5000 0.7846 0.3520 Y
0.0000 0.2846 0.1480 Y
0.0000 0.7817 0.1867 Pr
0.5000 0.7183 0.6867 Pr
0.5000 0.2817 0.3133 Pr
0.0000 0.2183 0.8133 Pr
0.0000 0.0000 0.5000 Nd
0.5000 0.5000 0.0000 Nd
```

Calculated values
Total magnetic moment (μB per formula unit): 0.002
Calculated volume (Å³ per atom): 35.6
Formation enthalpy at 0 K (eV per atom): 0.26
VASP energy (eV/atom): -5.1066